The following is a GGA+U calculation of crystalline Rb2NiBF6 at its relaxed geometry, from Alexandria via LeMat-Bulk.

a = 5.9492 Å, b = 5.9492 Å, c = 5.9492 Å
α = 120.66°, β = 120.66°, γ = 88.87°
With the nearest neighbours (Å) after each atom.
Fractional positions:
1 Rb 0.2500 0.7500 0.5000  12 F 2.95-3.03
2 Rb 0.7500 0.2500 0.5000  12 F 2.95-3.03
3 Ni 0.0000 0.0000 0.0000  2 F 1.95
4 B 0.5000 0.5000 0.0000  4 F 1.52
5 F 0.2298 0.2298 0.0000  1 Ni 1.95
6 F 0.3177 0.3177 0.6355  1 B 1.52
7 F 0.3177 0.6823 0.0000  1 B 1.52
8 F 0.6823 0.3177 0.0000  1 B 1.52
9 F 0.6823 0.6823 0.3645  1 B 1.52
10 F 0.7702 0.7702 0.0000  1 Ni 1.95

Computed properties:
The calculation puts the density of states at the Fermi level at 0.00 states/eV per cell. The calculated volume comes out at 147 Å³ per cell. The space-group type is No. 139. The total energy comes out at -4.456 eV per atom.